(1)
K4ErNb3O12 (PBE, relaxed); symmetry = Im-3m; total magnetization = 0.10 μB per atom; density = 4.6 g/cm3
1.0
-4.158 4.158 4.158
4.158 -4.158 4.158
4.158 4.158 -4.158
K Er Nb O
4 1 3 12
Direct
0.000 0.000 0.500
0.000 0.500 0.000
0.500 0.000 0.000
0.500 0.500 0.500
0.000 0.000 0.000
0.000 0.500 0.500
0.500 0.000 0.500
0.500 0.500 0.000
0.000 0.266 0.266
0.000 0.734 0.734
0.250 0.500 0.750
0.250 0.750 0.500
0.266 0.000 0.266
0.266 0.266 0.000
0.500 0.250 0.750
0.500 0.750 0.250
0.734 0.000 0.734
0.734 0.734 0.000
0.750 0.250 0.500
0.750 0.500 0.250


(2)
Co2CuBr6 (PBE, relaxed); symmetry = C2/c; total magnetization = 0.78 μB per atom; density = 3.5 g/cm3; energy above the lowest structure with this stoichiometry = 89 meV/atom
1.0
7.214 -6.671 0.000
7.214 6.671 0.000
-1.709 0.000 6.593
Co Cu Br
4 2 12
Direct
0.029 0.868 0.557
0.132 0.971 0.943
0.868 0.029 0.057
0.971 0.132 0.443
0.500 0.500 0.250
0.500 0.500 0.750
0.052 0.187 0.144
0.105 0.660 0.398
0.187 0.052 0.644
0.340 0.895 0.102
0.345 0.421 0.938
0.421 0.345 0.438
0.579 0.655 0.562
0.655 0.579 0.062
0.660 0.105 0.898
0.813 0.948 0.356
0.895 0.340 0.602
0.948 0.813 0.856


Number 1: formation energy from raw total energies -2.331 eV per atom, calculated volume 14.4 Å³/atom, density of states at the Fermi level 12.68 states/eV per cell. Number 2: formation energy from raw total energies -0.215 eV per atom, calculated volume 35.3 Å³/atom, density of states at the Fermi level 10.82 states/eV per cell.